No. 1
The following is a DFT calculation (meta-GGA SCAN) of a crystal of FeIr2Ru relaxed with PBEsol.

Output
* formation enthalpy at 0 K: -0.08 eV/atom
* relative energy among the computed polymorphs: 41 meV per atom
* raw total energy: -48.8650 eV/atom

Geometry as POSCAR:
```
FeIr2Ru
1.0
8.776 0.000 0.000
0.000 2.667 0.000
-0.832 0.000 4.495
Fe Ir Ru
2 4 2
Direct
0.000 0.000 0.000
0.500 0.500 0.000
0.000 0.500 0.507
0.247 0.500 0.240
0.500 0.000 0.507
0.747 0.000 0.240
0.252 0.000 0.752
0.752 0.500 0.752
```

=====

No. 2
The following is a DFT calculation (meta-GGA SCAN) of a crystal of Fe2IrRu relaxed with PBEsol.

Output
* formation enthalpy at 0 K: 0.26 eV/atom
* raw total energy: -35.2862 eV/atom

Geometry as POSCAR:
```
Fe2IrRu
1.0
2.582 0.000 0.000
0.000 3.555 0.000
0.000 0.000 5.171
Fe Ir Ru
2 1 1
Direct
0.000 0.000 0.246
0.000 0.000 0.754
0.500 0.500 0.500
0.500 0.500 0.000
```

=====

No. 3
The following is a DFT calculation (meta-GGA SCAN) of a crystal of FeSb3Ir relaxed with PBEsol.

Output
* ΔE_f (raw): 0.9237 eV/atom
* raw total energy: -39.2784 eV/atom

Geometry as POSCAR:
```
FeSb3Ir
1.0
4.721 0.000 0.000
0.000 4.721 0.000
0.000 0.000 4.721
Fe Sb Ir
1 3 1
Direct
0.000 0.000 0.000
0.000 0.000 0.500
0.000 0.500 0.000
0.500 0.000 0.000
0.500 0.500 0.500
```

=====

No. 4
The following is a DFT calculation (meta-GGA SCAN) of a crystal of Fe2SbIr relaxed with PBEsol.

Output
* ΔE_f (raw): 0.0211 eV/atom
* raw total energy: -36.1336 eV/atom

Geometry as POSCAR:
```
Fe2SbIr
1.0
3.779 0.000 0.000
0.000 3.779 0.000
0.000 0.000 3.933
Fe Sb Ir
2 1 1
Direct
0.000 0.500 0.000
0.500 0.000 0.000
0.000 0.000 0.500
0.500 0.500 0.500
```

=====

No. 5
The following is a DFT calculation (meta-GGA SCAN) of a crystal of FeTcSb2Ir relaxed with PBEsol.

Output
* ΔE_f (raw): 1.3663 eV/atom
* raw total energy: -38.3957 eV/atom

Geometry as POSCAR:
```
FeTcSb2Ir
1.0
4.954 0.000 0.000
0.000 4.954 0.000
0.000 0.000 4.364
Fe Tc Sb Ir
1 1 2 1
Direct
0.000 0.000 0.000
0.000 0.000 0.500
0.000 0.500 0.500
0.500 0.000 0.500
0.500 0.500 0.000
```

=====

No. 6
The following is a DFT calculation (meta-GGA SCAN) of a crystal of ZnFeSb2Ir relaxed with PBEsol.

Output
* ΔE_f (raw): 0.8982 eV/atom
* raw total energy: -34.5548 eV/atom

Geometry as POSCAR:
```
ZnFeSb2Ir
1.0
4.663 0.000 0.000
0.000 4.663 0.000
0.000 0.000 4.409
Zn Fe Sb Ir
1 1 2 1
Direct
0.000 0.000 0.000
0.000 0.000 0.500
0.000 0.500 0.500
0.500 0.000 0.500
0.500 0.500 0.000
```

=====

No. 7
The following is a DFT calculation (meta-GGA SCAN) of a crystal of ScFeIr2 relaxed with PBEsol.

Output
* formation enthalpy at 0 K: -0.29 eV/atom
* raw total energy: -43.9289 eV/atom

Geometry as POSCAR:
```
ScFeIr2
1.0
6.168 0.000 0.000
0.000 6.168 0.000
0.000 0.000 6.168
Sc Fe Ir
4 4 8
Direct
0.000 0.000 0.000
0.000 0.500 0.500
0.500 0.000 0.500
0.500 0.500 0.000
0.250 0.250 0.250
0.250 0.750 0.750
0.750 0.250 0.750
0.750 0.750 0.250
0.000 0.000 0.500
0.000 0.500 0.000
0.250 0.250 0.750
0.250 0.750 0.250
0.500 0.000 0.000
0.500 0.500 0.500
0.750 0.250 0.250
0.750 0.750 0.750
```

=====

No. 8
The following is a DFT calculation (meta-GGA SCAN) of a crystal of ScFeIr2 relaxed with PBEsol.

Output
* formation enthalpy at 0 K: -0.46 eV/atom
* raw total energy: -44.0978 eV/atom

Geometry as POSCAR:
```
ScFeIr2
1.0
3.795 0.000 0.000
0.000 3.795 0.000
0.000 0.000 7.969
Sc Fe Ir
2 2 4
Direct
0.000 0.000 0.000
0.500 0.500 0.500
0.000 0.500 0.250
0.500 0.000 0.750
0.000 0.000 0.500
0.000 0.500 0.750
0.500 0.000 0.250
0.500 0.500 0.000
```

=====

No. 9
The following is a DFT calculation (meta-GGA SCAN) of a crystal of ScFeIr2 relaxed with PBEsol.

Output
* formation enthalpy at 0 K: -0.42 eV/atom
* raw total energy: -44.0587 eV/atom

Geometry as POSCAR:
```
ScFeIr2
1.0
8.883 0.000 0.000
0.000 2.789 0.000
-0.957 0.000 4.684
Sc Fe Ir
2 2 4
Direct
0.000 0.000 0.000
0.500 0.500 0.000
0.000 0.500 0.500
0.500 0.000 0.500
0.243 0.000 0.731
0.257 0.500 0.269
0.743 0.500 0.731
0.757 0.000 0.269
```

=====

No. 10
The following is a DFT calculation (meta-GGA SCAN) of a crystal of ScFeIr2 relaxed with PBEsol.

Output
* formation enthalpy at 0 K: -0.34 eV/atom
* raw total energy: -43.9841 eV/atom

Geometry as POSCAR:
```
ScFeIr2
1.0
2.769 0.000 0.000
0.000 3.855 0.000
0.000 0.000 5.453
Sc Fe Ir
1 1 2
Direct
0.000 0.000 0.000
0.500 0.500 0.291
0.000 0.000 0.487
0.500 0.500 0.750
```

=====

No. 11
The following is a DFT calculation (meta-GGA SCAN) of a crystal of Sc2FeIr relaxed with PBEsol.

Output
* formation enthalpy at 0 K: -0.59 eV/atom
* raw total energy: -30.0188 eV/atom

Geometry as POSCAR:
```
Sc2FeIr
1.0
3.127 0.000 0.000
0.000 3.127 0.000
0.000 0.000 6.301
Sc Fe Ir
2 1 1
Direct
0.000 0.000 0.241
0.000 0.000 0.759
0.500 0.500 0.000
0.500 0.500 0.500
```

=====

No. 12
The following is a DFT calculation (meta-GGA SCAN) of a crystal of FeIrSe2 relaxed with PBEsol.

Output
* ΔE_f (raw): -0.0464 eV/atom
* relative energy among the computed polymorphs: 0 meV per atom
* raw total energy: -32.3928 eV/atom

Geometry as POSCAR:
```
FeIrSe2
1.0
3.792 0.000 0.000
0.000 3.792 0.000
-0.010 0.000 5.306
Fe Ir Se
1 1 2
Direct
0.000 0.000 0.000
0.500 0.500 0.000
0.501 0.000 0.269
0.999 0.500 0.731
```